DFT (PBE) results for crystalline Er8Zn2Co at its relaxed geometry.

Output
Formation energy, eV/atom: -0.112
Polymorph energy (0 for the lowest one), meV/atom: 31.7
Total energy, eV per cell: -94.8

abc: 7.390 15.501 5.980
angles: 90.00 122.94 90.00
Space group Cm (No. 8)
Inequivalent atoms, fractional coordinates:
Er 0.000 0.000 0.000 [2 per cell]
Er 0.006 0.112 0.516 [4 per cell]
Er 0.043 0.386 0.868 [4 per cell]
Er 0.046 0.500 0.363 [2 per cell]
Er 0.271 0.196 0.206 [4 per cell]
Zn 0.275 0.281 0.697 [4 per cell]
Co 0.278 0.000 0.501 [2 per cell]



DFT (PBE) results for crystalline Rb3CaU3S8 at its relaxed geometry.

Output
Formation energy (no corrections), eV/atom: -1.497
Total energy, eV per cell: -282.7

abc: 8.1381 8.1381 23.3191
angles: 90.00 90.00 120.00
Space group R-3m (No. 166, hexagonal axes)
Inequivalent atoms, fractional coordinates:
Rb 0.0000 0.5000 0.0000 [9 per cell]
Ca 0.0000 0.0000 0.5000 [3 per cell]
U 0.0000 0.5000 0.5000 [9 per cell]
S 0.0000 0.0000 0.2304 [6 per cell]
S 0.0128 0.5064 0.7709 [18 per cell]



DFT (PBE) results for crystalline La3Nd8Dy2 at its relaxed geometry.

Output
Formation energy, eV/atom: 0.213
Polymorph energy (0 for the lowest one), meV/atom: 72.1
Total energy, eV per cell: -118.7

abc: 20.742 7.779 5.831
angles: 90.00 90.12 90.00
Space group C2/m (No. 12)
Inequivalent atoms, fractional coordinates:
La 0.000 0.000 0.000 [2 per cell]
La 0.000 0.293 0.500 [4 per cell]
Nd 0.109 0.291 0.001 [8 per cell]
Nd 0.136 0.000 0.498 [4 per cell]
Nd 0.176 0.500 0.503 [4 per cell]
Dy 0.241 0.000 0.996 [4 per cell]



DFT (PBE) results for crystalline TbPr2Sc at its relaxed geometry.

Output
Formation energy, eV/atom: 0.040
Polymorph energy (0 for the lowest one), meV/atom: 0.0
Total energy, eV per cell: -20.4

abc: 5.077 5.077 4.946
angles: 90.00 90.00 90.00
Space group P4/mmm (No. 123)
Inequivalent atoms, fractional coordinates:
Tb 0.000 0.000 0.000 [1 per cell]
Pr 0.000 0.500 0.500 [2 per cell]
Sc 0.500 0.500 0.000 [1 per cell]



DFT (PBE) results for crystalline CsNa at its relaxed geometry.

Output
Formation energy, eV/atom: 0.030
Total energy, eV per cell: -4.2

abc: 5.187 7.274 8.587
angles: 114.14 107.49 90.19
Space group P-1 (No. 2)
Inequivalent atoms, fractional coordinates:
Cs 0.104 0.353 0.209 [2 per cell]
Na 0.337 0.090 0.674 [2 per cell]



DFT (PBE) results for crystalline Sm10Y6Pu at its relaxed geometry.

Output
Formation energy, eV/atom: 0.164
Total energy, eV per cell: -97.5

abc: 9.7743 9.7743 6.8807
angles: 90.00 90.00 120.00
Space group P-31m (No. 162)
Inequivalent atoms, fractional coordinates:
Sm 0.0000 0.2677 0.3122 [6 per cell]
Sm 0.3333 0.6667 0.0000 [2 per cell]
Sm 0.3333 0.6667 0.5000 [2 per cell]
Y 0.0000 0.3748 0.8048 [6 per cell]
Pu 0.0000 0.0000 0.0000 [1 per cell]



DFT (PBE) results for crystalline Li3Pm at its relaxed geometry.

Output
Formation energy, eV/atom: 0.204
Polymorph energy (0 for the lowest one), meV/atom: 165.4
Total energy, eV per cell: -19.4

abc: 6.6715 6.6715 5.1166
angles: 90.00 90.00 120.00
Space group P6_3/mmc (No. 194)
Inequivalent atoms, fractional coordinates:
Li 0.1485 0.2971 0.2500 [6 per cell]
Pm 0.3333 0.6667 0.7500 [2 per cell]



DFT (PBE) results for crystalline Pu2BeZn at its relaxed geometry.

Output
Formation energy, eV/atom: 0.115
Polymorph energy (0 for the lowest one), meV/atom: 0.0
Total energy, eV per cell: -33.2

abc: 2.953 2.953 8.660
angles: 90.00 90.00 90.00
Space group P4/mmm (No. 123)
Inequivalent atoms, fractional coordinates:
Pu 0.000 0.000 0.231 [2 per cell]
Be 0.500 0.500 0.000 [1 per cell]
Zn 0.500 0.500 0.500 [1 per cell]



DFT (PBE) results for crystalline ErTcB14 at its relaxed geometry.

Output
Formation energy, eV/atom: -0.111
Total energy, eV per cell: -440.7

abc: 5.885 10.758 8.202
angles: 90.00 90.00 90.00
Space group Imma (No. 74)
Inequivalent atoms, fractional coordinates:
Er 0.000 0.250 0.126 [4 per cell]
Tc 0.250 0.250 0.750 [4 per cell]
B 0.000 0.083 0.671 [8 per cell]
B 0.000 0.122 0.871 [8 per cell]
B 0.000 0.168 0.465 [8 per cell]
B 0.161 0.064 0.338 [16 per cell]
B 0.246 0.079 0.548 [16 per cell]



DFT (PBE) results for crystalline CaIn2Pt at its relaxed geometry.

Output
Formation energy, eV/atom: -0.468
Total energy, eV per cell: -61.6

abc: 6.972 6.972 6.972
angles: 90.00 90.00 90.00
Space group Fm-3m (No. 225)
Inequivalent atoms, fractional coordinates:
Ca 0.000 0.000 0.000 [4 per cell]
In 0.250 0.250 0.250 [8 per cell]
Pt 0.000 0.000 0.500 [4 per cell]



DFT (PBE) results for crystalline Ta2PIr at its relaxed geometry.

Output
Formation energy, eV/atom: -0.445
Total energy, eV per cell: -79.5

abc: 2.935 4.484 9.501
angles: 90.00 90.00 90.00
Space group Imm2 (No. 44)
Inequivalent atoms, fractional coordinates:
Ta 0.000 0.000 0.000 [2 per cell]
Ta 0.000 0.500 0.202 [2 per cell]
P 0.000 0.500 0.726 [2 per cell]
Ir 0.000 0.000 0.427 [2 per cell]



DFT (PBE) results for crystalline K2MgVB at its relaxed geometry.

Output
Formation energy, eV/atom: 1.855
Total energy, eV per cell: -10.3

abc: 6.438 6.438 5.356
angles: 90.00 90.00 90.00
Space group P4/mmm (No. 123)
Inequivalent atoms, fractional coordinates:
K 0.000 0.500 0.000 [2 per cell]
Mg 0.000 0.000 0.000 [1 per cell]
V 0.000 0.000 0.500 [1 per cell]
B 0.500 0.500 0.500 [1 per cell]



DFT (PBE) results for crystalline LaTiCu2 at its relaxed geometry.

Output
Formation energy, eV/atom: -0.032
Polymorph energy (0 for the lowest one), meV/atom: 0.0
Total energy, eV per cell: -21.1

abc: 3.232 3.232 7.163
angles: 90.00 90.00 90.00
Space group P4/mmm (No. 123)
Inequivalent atoms, fractional coordinates:
La 0.000 0.000 0.000 [1 per cell]
Ti 0.000 0.000 0.500 [1 per cell]
Cu 0.500 0.500 0.314 [2 per cell]



DFT (PBE) results for crystalline Ti3InHg at its relaxed geometry.

Output
Formation energy, eV/atom: 0.234
Polymorph energy (0 for the lowest one), meV/atom: 64.9
Total energy, eV per cell: -51.1

abc: 7.439 2.883 9.801
angles: 90.00 109.64 90.00
Space group P2/m (No. 10)
Inequivalent atoms, fractional coordinates:
Ti 0.000 0.000 0.000 [1 per cell]
Ti 0.000 0.000 0.500 [1 per cell]
Ti 0.386 0.000 0.111 [2 per cell]
Ti 0.396 0.000 0.590 [2 per cell]
In 0.210 0.500 0.305 [2 per cell]
Hg 0.212 0.000 0.804 [2 per cell]



DFT (PBE) results for crystalline Pr4SmCd at its relaxed geometry.

Output
Formation energy, eV/atom: 0.361
Polymorph energy (0 for the lowest one), meV/atom: 457.9
Total energy, eV per cell: -22.6

abc: 5.438 5.438 7.712
angles: 90.00 90.00 90.00
Space group P4/mmm (No. 123)
Inequivalent atoms, fractional coordinates:
Pr 0.000 0.500 0.240 [4 per cell]
Sm 0.000 0.000 0.500 [1 per cell]
Cd 0.500 0.500 0.000 [1 per cell]



DFT (PBE) results for crystalline Rb2InGaBi2 at its relaxed geometry.

Output
Formation energy, eV/atom: -0.273
Total energy, eV per cell: -68.4

abc: 7.611 16.479 7.590
angles: 90.00 90.00 90.00
Space group Ibam (No. 72)
Inequivalent atoms, fractional coordinates:
Rb 0.247 0.164 0.000 [8 per cell]
In 0.000 0.500 0.250 [4 per cell]
Ga 0.000 0.000 0.250 [4 per cell]
Bi 0.238 0.092 0.500 [8 per cell]



DFT (PBE) results for crystalline TaRe2AgS at its relaxed geometry.

Output
Formation energy (no corrections), eV/atom: 1.088
Total energy, eV per cell: -38.3

abc: 4.382 4.382 4.543
angles: 90.00 90.00 90.00
Space group P4/mmm (No. 123)
Inequivalent atoms, fractional coordinates:
Ta 0.000 0.000 0.000 [1 per cell]
Re 0.000 0.500 0.500 [2 per cell]
Ag 0.500 0.500 0.000 [1 per cell]
S 0.500 0.500 0.500 [1 per cell]



DFT (PBE) results for crystalline Tb2ScSe2O2 at its relaxed geometry.

Output
Formation energy (no corrections), eV/atom: -2.446
Total energy, eV per cell: -99.2

abc: 4.077 4.077 15.086
angles: 90.00 90.00 90.00
Space group I4/mmm (No. 139)
Inequivalent atoms, fractional coordinates:
Tb 0.000 0.000 0.122 [4 per cell]
Sc 0.000 0.000 0.500 [2 per cell]
Se 0.000 0.000 0.320 [4 per cell]
O 0.000 0.500 0.000 [4 per cell]



DFT (PBE) results for crystalline HfSiRh at its relaxed geometry.

Output
Formation energy (no corrections), eV/atom: -1.067
Total energy, eV per cell: -155.6

abc: 6.638 3.764 11.416
angles: 90.00 90.60 90.00
Space group P2_1/m (No. 11)
Inequivalent atoms, fractional coordinates:
Hf 0.018 0.250 0.208 [2 per cell]
Hf 0.347 0.750 0.578 [2 per cell]
Hf 0.472 0.750 0.882 [2 per cell]
Si 0.231 0.250 0.416 [2 per cell]
Si 0.234 0.750 0.081 [2 per cell]
Si 0.276 0.250 0.750 [2 per cell]
Rh 0.013 0.250 0.595 [2 per cell]
Rh 0.149 0.250 0.956 [2 per cell]
Rh 0.357 0.750 0.294 [2 per cell]



DFT (PBE) results for crystalline LiLa2Sm at its relaxed geometry.

Output
Formation energy, eV/atom: 0.163
Polymorph energy (0 for the lowest one), meV/atom: 101.6
Total energy, eV per cell: -47.5

abc: 3.5734 3.5734 37.9905
angles: 90.00 90.00 120.00
Space group R-3m (No. 166, hexagonal axes)
Inequivalent atoms, fractional coordinates:
Li 0.0000 0.0000 0.0000 [3 per cell]
La 0.0000 0.0000 0.0886 [6 per cell]
Sm 0.0000 0.0000 0.5000 [3 per cell]